No. 1
Below is an optimized crystal structure of LaSmTlBi, with properties calculated at the PBE level.

Cell: 7.9243 7.9243 7.9243 Å, 90.00 90.00 90.00°
Fractional coordinates of all 16 atoms:
La: 0.0000 0.0000 0.0000
La: 0.0000 0.5000 0.5000
La: 0.5000 0.0000 0.5000
La: 0.5000 0.5000 0.0000
Sm: 0.0000 0.0000 0.5000
Sm: 0.0000 0.5000 0.0000
Sm: 0.5000 0.0000 0.0000
Sm: 0.5000 0.5000 0.5000
Tl: 0.2500 0.2500 0.7500
Tl: 0.2500 0.7500 0.2500
Tl: 0.7500 0.2500 0.2500
Tl: 0.7500 0.7500 0.7500
Bi: 0.2500 0.2500 0.2500
Bi: 0.2500 0.7500 0.7500
Bi: 0.7500 0.2500 0.7500
Bi: 0.7500 0.7500 0.2500

Properties
Crystal system ... cubic
DOS at the Fermi energy ... 21.17 states/eV per cell
Theoretical density ... 9.38 g cm⁻³
ΔE_f ... -2.025 eV/f.u.
DFT total energy ... -4.48 eV per atom

---

No. 2
Below is an optimized crystal structure of CoIrRh4, with properties calculated at the PBE level.

Cell: 4.0244 4.0244 6.0072 Å, 90.00 90.00 90.00°
Fractional coordinates of all 6 atoms:
Co: 0.0000 0.0000 0.0000
Ir: 0.5000 0.5000 0.5000
Rh: 0.0000 0.5000 0.2363
Rh: 0.0000 0.5000 0.7637
Rh: 0.5000 0.0000 0.2363
Rh: 0.5000 0.0000 0.7637

Properties
Crystal system ... tetragonal
DOS at the Fermi energy ... 9.31 states/eV per cell
Theoretical density ... 11.31 g cm⁻³
Energy above the most stable polymorph in this dataset ... 0.4450 eV/atom
ΔE_f ... 2.927 eV/f.u.
DFT total energy ... -7.07 eV per atom

---

> What is the ΔE_f in the second record?

2.927 eV/f.u.

---

> Which value of DFT total energy does entry 1 give?

-4.48 eV per atom

---

> ΔE_f of number 2 (CoIrRh4)?

2.927 eV/f.u.

---

> Which of these has the highest DOS at the Fermi energy?

LaSmTlBi